The following is a PBE calculation of Nb2TcSn after structural relaxation, from the Alexandria database.

a b c (Å): 3.5425 4.4234 4.5265
angles (deg): 90.00 90.00 90.00
Element x y z (fractional)
Nb 0.0000 0.0000 0.0000
Nb 0.5000 0.5000 0.0000
Tc 0.0000 0.5000 0.5000
Sn 0.5000 0.0000 0.5000

## Properties
ΔE_f	-0.071	eV per atom
total magnetization	0.00	μB/cell